(1)
Computed, not measured: PrNd3Ni after structural relaxation at the PBE-GGA level of DFT.

Properties
uncorrected energy = -5.025 eV/atom
offset from the most stable computed form = 59.7 meV/atom
space group = P2_1/c (14)
calculated formation energy = -25 kJ/mol of formula units

Cell: 7.3810 8.3262 10.2669 Å, 108.07 90.00 90.00°
With the nearest neighbours (Å) after each atom.
Atoms (fractional coordinates):
Pr: 0.9668 0.6836 0.2622  8 Nd 3.34-3.70, 2 Ni 3.53-3.64
Pr: 0.0332 0.3164 0.7378  8 Nd 3.34-3.70, 2 Ni 3.53-3.64
Pr: 0.4668 0.3164 0.2378  8 Nd 3.34-3.70, 2 Ni 3.53-3.64
Pr: 0.5332 0.6836 0.7622  8 Nd 3.34-3.70, 2 Ni 3.53-3.64
Nd: 0.1329 0.0745 0.3841  3 Ni 2.88-2.97
Nd: 0.8671 0.9255 0.6159  3 Ni 2.88-2.97
Nd: 0.6329 0.9255 0.1159  3 Ni 2.88-2.97
Nd: 0.3671 0.0745 0.8841  3 Ni 2.88-2.97
Nd: 0.4992 0.7814 0.3787  2 Ni 2.83-2.97
Nd: 0.5008 0.2186 0.6213  2 Ni 2.83-2.97
Nd: 0.9992 0.2186 0.1213  2 Ni 2.83-2.97
Nd: 0.0008 0.7814 0.8787  2 Ni 2.83-2.97
Nd: 0.2124 0.5618 0.5213  1 Ni 2.91
Nd: 0.7876 0.4382 0.4787  1 Ni 2.91
Nd: 0.7124 0.4382 0.9787  1 Ni 2.91
Nd: 0.2876 0.5618 0.0213  1 Ni 2.91
Ni: 0.2567 0.9264 0.5970  6 Nd 2.83-2.97
Ni: 0.7433 0.0736 0.4030  6 Nd 2.83-2.97
Ni: 0.7567 0.0736 0.9030  6 Nd 2.83-2.97
Ni: 0.2433 0.9264 0.0970  6 Nd 2.83-2.97

(2)
Computed, not measured: PrNd2Ni6 after structural relaxation at the PBE-GGA level of DFT.

Properties
uncorrected energy = -5.753 eV/atom
space group = P6/mmm (191)
calculated formation energy = -267 kJ/mol of formula units

Cell: 4.0028 6.9771 6.9771 Å, 120.00 90.00 90.00°
With the nearest neighbours (Å) after each atom.
Atoms (fractional coordinates):
Pr: 0.0000 0.0000 0.0000  12 Ni 3.07
Nd: 0.0000 0.3333 0.6667  12 Ni 3.07
Nd: 0.0000 0.6667 0.3333  12 Ni 3.07
Ni: 0.5000 0.3339 0.3339  3 Ni 2.32-2.33
Ni: 0.5000 0.6661 0.6661  3 Ni 2.32-2.33
Ni: 0.5000 0.0000 0.6661  3 Ni 2.32-2.33
Ni: 0.5000 0.6661 0.0000  3 Ni 2.32-2.33
Ni: 0.5000 0.3339 0.0000  3 Ni 2.32-2.33
Ni: 0.5000 0.0000 0.3339  3 Ni 2.32-2.33

(3)
Computed, not measured: PrNdNi after structural relaxation at the PBE-GGA level of DFT.

Properties
uncorrected energy = -5.132 eV/atom
offset from the most stable computed form = 179.2 meV/atom
space group = F-43m (216)
calculated formation energy = -7 kJ/mol of formula units

Cell: 4.9204 4.9204 4.9204 Å, 60.00 60.00 60.00°
With the nearest neighbours (Å) after each atom.
Atoms (fractional coordinates):
Pr: 0.5000 0.5000 0.5000  4 Ni 3.01
Ni: 0.2500 0.2500 0.2500  4 Pr 3.01, 4 Nd 3.01
Nd: 0.0000 0.0000 0.0000  4 Ni 3.01

(4)
Computed, not measured: PrNd3Ni after structural relaxation at the PBE-GGA level of DFT.

Properties
uncorrected energy = -5.085 eV/atom
offset from the most stable computed form = 0.0 meV/atom
space group = Cm (8)
calculated formation energy = -54 kJ/mol of formula units

Cell: 3.7897 6.3901 13.2353 Å, 84.99 81.77 72.75°
With the nearest neighbours (Å) after each atom.
Atoms (fractional coordinates):
Pr: 0.0984 0.5193 0.2839  2 Ni 2.87
Pr: 0.2213 0.5528 0.0046  2 Ni 2.85
Nd: 0.4343 0.9853 0.1460  2 Ni 2.93
Nd: 0.7773 0.6838 0.7617  2 Ni 2.95
Nd: 0.1130 0.1483 0.6258  2 Ni 2.85
Nd: 0.9912 0.1154 0.9022  2 Ni 2.84
Nd: 0.7790 0.0541 0.3880  3 Pr 3.60-3.63, 1 Ni 3.62, 9 Nd 3.67-3.91
Nd: 0.4328 0.6129 0.5215  10 Nd 3.60-3.91, 1 Ni 3.60, 2 Pr 3.71
Ni: 0.7531 0.3513 0.1424  4 Pr 2.85-2.87, 2 Nd 2.93
Ni: 0.4605 0.3136 0.7653  6 Nd 2.84-2.95